First-principles (PBE) data for crystalline AgPt2O at its relaxed geometry, as listed in the Alexandria database.

Values from the calculation:
Energy relative to the elements, uncorrected, eV/atom: 0.24
Electronic total energy, eV per atom: -4.732
Symmetry: I-42d

Unit cell a=7.090 b=7.090 c=7.090 alpha=137.75 beta=137.75 gamma=61.28
Fractional positions:
Ag  0.000  0.000  0.000
Ag  0.750  0.250  0.500
Pt  0.340  0.125  0.715
Pt  0.375  0.660  0.785
Pt  0.410  0.625  0.285
Pt  0.875  0.590  0.215
O  0.250  0.750  0.500
O  0.500  0.500  0.000

---

First-principles (PBE) data for crystalline Ag6PtO8 at its relaxed geometry, as listed in the Alexandria database.

Values from the calculation:
Energy relative to the elements, uncorrected, eV/atom: 0.16
Electronic total energy, eV per atom: -4.032
Symmetry: R-3

Unit cell a=6.111 b=6.111 c=6.111 alpha=97.43 beta=97.43 gamma=97.43
Fractional positions:
Ag  0.169  0.598  0.256
Ag  0.256  0.169  0.598
Ag  0.402  0.744  0.831
Ag  0.598  0.256  0.169
Ag  0.744  0.831  0.402
Ag  0.831  0.402  0.744
Pt  0.000  0.000  0.000
O  0.146  0.466  0.671
O  0.206  0.206  0.206
O  0.329  0.854  0.534
O  0.466  0.671  0.146
O  0.534  0.329  0.854
O  0.671  0.146  0.466
O  0.794  0.794  0.794
O  0.854  0.534  0.329

---

First-principles (PBE) data for crystalline PuAg2PtO6 at its relaxed geometry, as listed in the Alexandria database.

Values from the calculation:
Energy relative to the elements, uncorrected, eV/atom: -1.10
Electronic total energy, eV per atom: -6.686
Symmetry: R-3

Unit cell a=5.727 b=5.727 c=5.727 alpha=58.95 beta=58.95 gamma=58.95
Fractional positions:
Pu  0.000  0.000  0.000
Ag  0.250  0.250  0.250
Ag  0.750  0.750  0.750
Pt  0.500  0.500  0.500
O  0.167  0.343  0.745
O  0.255  0.833  0.657
O  0.343  0.745  0.167
O  0.657  0.255  0.833
O  0.745  0.167  0.343
O  0.833  0.657  0.255

---

First-principles (PBE) data for crystalline AgPtRhO4 at its relaxed geometry, as listed in the Alexandria database.

Values from the calculation:
Energy relative to the elements, uncorrected, eV/atom: -0.49
Electronic total energy, eV per atom: -5.639
Symmetry: Imma

Unit cell a=6.376 b=6.376 c=6.376 alpha=120.44 beta=119.50 gamma=90.05
Fractional positions:
Ag  0.382  0.132  0.250
Ag  0.618  0.868  0.750
Pt  0.000  0.500  0.500
Pt  0.500  0.500  0.000
Rh  0.000  0.000  0.500
Rh  0.000  0.500  0.000
O  0.184  0.728  0.457
O  0.229  0.272  0.957
O  0.230  0.273  0.543
O  0.230  0.687  0.957
O  0.770  0.313  0.043
O  0.770  0.727  0.457
O  0.771  0.728  0.043
O  0.816  0.272  0.543